Record 1
# Pm2ScGePd6, optimized geometry, DFT PBE-GGA
# Fermi-level density of states: 0.66 states/eV per atom
# final energy: -58.073 eV for the cell shown
# DFT formation energy: -647 meV per atom
# spin magnetization: 0.0 μB per cell
data_Pm2ScGePd6
_chemical_formula_sum 'Pm2 Sc1 Ge1 Pd6'
_cell_length_a 5.602
_cell_length_b 6.452
_cell_length_c 6.716
_cell_angle_alpha 72.18
_cell_angle_beta 65.40
_cell_angle_gamma 64.36
_symmetry_space_group_name_H-M 'P -1'
_symmetry_Int_Tables_number 2
loop_
_symmetry_equiv_pos_as_xyz
'x,y,z'
'-x,-y,-z'
loop_
_atom_site_label
_atom_site_fract_x
_atom_site_fract_y
_atom_site_fract_z
_atom_site_occupancy
Pm1 0.003 0.258 0.238 1
Sc1 0.500 0.000 0.500 1
Ge1 0.500 0.500 0.000 1
Pd1 0.004 0.690 0.310 1
Pd2 0.321 0.928 0.929 1
Pd3 0.496 0.689 0.310 1

Record 2
# SmDy2Cd, optimized geometry, DFT PBE-GGA
# Fermi-level density of states: 1.02 states/eV per atom
# final energy: -15.436 eV for the cell shown
# DFT formation energy: -149 meV per atom
# spin magnetization: 0.0 μB per cell
data_SmDy2Cd
_chemical_formula_sum 'Sm1 Dy2 Cd1'
_cell_length_a 3.610
_cell_length_b 3.610
_cell_length_c 9.041
_cell_angle_alpha 90.00
_cell_angle_beta 90.00
_cell_angle_gamma 90.00
_symmetry_space_group_name_H-M 'P 4/m m m'
_symmetry_Int_Tables_number 123
_symmetry_space_group_name_Hall '-P 4 2'
loop_
_atom_site_label
_atom_site_fract_x
_atom_site_fract_y
_atom_site_fract_z
_atom_site_occupancy
Sm1 0.000 0.000 0.000 1
Dy1 0.500 0.500 0.276 1
Cd1 0.000 0.000 0.500 1

Record 3
# LaMo2Au, optimized geometry, DFT PBE-GGA
# Fermi-level density of states: 0.96 states/eV per atom
# final energy: -27.775 eV for the cell shown
# DFT formation energy: 523 meV per atom
# spin magnetization: 0.0 μB per cell
data_LaMo2Au
_chemical_formula_sum 'La1 Mo2 Au1'
_cell_length_a 2.833
_cell_length_b 2.833
_cell_length_c 9.641
_cell_angle_alpha 90.00
_cell_angle_beta 90.00
_cell_angle_gamma 90.00
_symmetry_space_group_name_H-M 'P 4/m m m'
_symmetry_Int_Tables_number 123
_symmetry_space_group_name_Hall '-P 4 2'
loop_
_atom_site_label
_atom_site_fract_x
_atom_site_fract_y
_atom_site_fract_z
_atom_site_occupancy
La1 0.000 0.000 0.000 1
Mo1 0.500 0.500 0.280 1
Au1 0.000 0.000 0.500 1

Record 4
# TaGa3S, optimized geometry, DFT PBE-GGA
# Fermi-level density of states: 1.88 states/eV per atom
# E_form (uncorrected): 0.89 eV per atom
# final energy: -20.593 eV for the cell shown
# spin magnetization: 1.8 μB per cell
data_TaGa3S
_chemical_formula_sum 'Ta1 Ga3 S1'
_cell_length_a 5.122
_cell_length_b 5.122
_cell_length_c 5.122
_cell_angle_alpha 90.00
_cell_angle_beta 90.00
_cell_angle_gamma 90.00
_symmetry_space_group_name_H-M 'P m -3 m'
_symmetry_Int_Tables_number 221
_symmetry_space_group_name_Hall '-P 4 2 3'
loop_
_atom_site_label
_atom_site_fract_x
_atom_site_fract_y
_atom_site_fract_z
_atom_site_occupancy
Ta1 0.000 0.000 0.000 1
Ga1 0.000 0.000 0.500 1
S1 0.500 0.500 0.500 1

Record 5
# BaHfCr2, optimized geometry, DFT PBE-GGA
# Fermi-level density of states: 1.29 states/eV per atom
# final energy: -104.428 eV for the cell shown
# DFT formation energy: 1254 meV per atom
# spin magnetization: 21.6 μB per cell
data_BaHfCr2
_chemical_formula_sum 'Ba4 Hf4 Cr8'
_cell_length_a 5.150
_cell_length_b 5.150
_cell_length_c 18.141
_cell_angle_alpha 90.00
_cell_angle_beta 90.00
_cell_angle_gamma 90.00
_symmetry_space_group_name_H-M 'I 41/a m d'
_symmetry_Int_Tables_number 141
loop_
_symmetry_equiv_pos_as_xyz
'x,y,z'
'-x,-y,-z'
'-y+1/4,x+3/4,z+1/4'
'y+1/4,-x+3/4,-z+1/4'
'-x+1/2,-y,z+1/2'
'x+1/2,y,-z+1/2'
'y+1/4,-x+1/4,z+3/4'
'-y+1/4,x+1/4,-z+3/4'
'x,-y,-z'
'-x,y,z'
'-y+1/4,-x+1/4,-z+3/4'
'y+1/4,x+1/4,z+3/4'
'-x+1/2,y,-z+1/2'
'x+1/2,-y,z+1/2'
'y+1/4,x+3/4,-z+1/4'
'-y+1/4,-x+3/4,z+1/4'
'x+1/2,y+1/2,z+1/2'
'-x+1/2,-y+1/2,-z+1/2'
'-y+3/4,x+1/4,z+3/4'
'y+3/4,-x+1/4,-z+3/4'
'-x,-y+1/2,z'
'x,y+1/2,-z'
'y+3/4,-x+3/4,z+1/4'
'-y+3/4,x+3/4,-z+1/4'
'x+1/2,-y+1/2,-z+1/2'
'-x+1/2,y+1/2,z+1/2'
'-y+3/4,-x+3/4,-z+1/4'
'y+3/4,x+3/4,z+1/4'
'-x,y+1/2,-z'
'x,-y+1/2,z'
'y+3/4,x+1/4,-z+3/4'
'-y+3/4,-x+1/4,z+3/4'
loop_
_atom_site_label
_atom_site_fract_x
_atom_site_fract_y
_atom_site_fract_z
_atom_site_occupancy
Ba1 0.000 0.250 0.375 1
Hf1 0.000 0.250 0.875 1
Cr1 0.000 0.000 0.000 1

Record 6
# BaCr2As2, optimized geometry, DFT PBE-GGA
# Fermi-level density of states: 0.25 states/eV per atom
# final energy: -62.516 eV for the cell shown
# DFT formation energy: -158 meV per atom
# spin magnetization: 0.0 μB per cell
data_BaCr2As2
_chemical_formula_sum 'Ba2 Cr4 As4'
_cell_length_a 4.884
_cell_length_b 4.884
_cell_length_c 8.416
_cell_angle_alpha 90.00
_cell_angle_beta 90.00
_cell_angle_gamma 90.00
_symmetry_space_group_name_H-M 'I 4/m m m'
_symmetry_Int_Tables_number 139
_symmetry_space_group_name_Hall '-I 4 2'
loop_
_atom_site_label
_atom_site_fract_x
_atom_site_fract_y
_atom_site_fract_z
_atom_site_occupancy
Ba1 0.000 0.000 0.000 1
Cr1 0.000 0.000 0.390 1
As1 0.000 0.500 0.250 1